A relaxed CdRu2Rh crystal. Source: the Alexandria database, functional PBE.

## Properties
The energy relative to the elements is 0.384 eV per atom. The calculated volume comes out at 15.360 A^3/atom. The electronic total energy is -6.321 eV/atom.

a = 5.359 Å, b = 8.338 Å, c = 2.750 Å
α = 90.00°, β = 90.00°, γ = 90.00°
Space group Cmmm (No. 65)
Inequivalent atoms, fractional coordinates:
1 Cd 0.000 0.000 0.000
2 Ru 0.250 0.250 0.500
3 Rh 0.000 0.500 0.000


A relaxed CdRu2Rh crystal. Source: the Alexandria database, functional PBE.

## Properties
The energy relative to the elements is 0.313 eV per atom. The calculated volume comes out at 15.527 A^3/atom. The electronic total energy is -6.391 eV/atom.

a = 2.740 Å, b = 3.949 Å, c = 5.740 Å
α = 90.00°, β = 90.00°, γ = 90.00°
Space group Pmmm (No. 47)
Inequivalent atoms, fractional coordinates:
1 Cd 0.000 0.000 0.000
2 Ru 0.500 0.500 0.279
3 Rh 0.000 0.000 0.500


Copy entry 2 word for word.
A relaxed CdRu2Rh crystal. Source: the Alexandria database, functional PBE.

## Properties
The energy relative to the elements is 0.313 eV per atom. The calculated volume comes out at 15.527 A^3/atom. The electronic total energy is -6.391 eV/atom.

a = 2.740 Å, b = 3.949 Å, c = 5.740 Å
α = 90.00°, β = 90.00°, γ = 90.00°
Space group Pmmm (No. 47)
Inequivalent atoms, fractional coordinates:
1 Cd 0.000 0.000 0.000
2 Ru 0.500 0.500 0.279
3 Rh 0.000 0.000 0.500


- Among the records above, which one has the highest calculated volume?
  number 2